No. 1
Entry from Alexandria via LeMat-Bulk: a relaxed structure of AlTcW2 (PBE-GGA).

a = 2.8375 Å, b = 2.8375 Å, c = 26.8550 Å
α = 90.00°, β = 90.00°, γ = 120.00°
Space group R3m (No. 160, hexagonal axes)
Unique sites:
Al (0.0000, 0.0000, 0.0000) x3
Tc (0.0000, 0.0000, 0.2537) x3
W (0.0000, 0.0000, 0.5078) x3
W (0.0000, 0.0000, 0.7518) x3


No. 2
Entry from Alexandria via LeMat-Bulk: a relaxed structure of AlTc2W (PBE-GGA).

a = 5.514 Å, b = 8.570 Å, c = 2.749 Å
α = 90.00°, β = 113.12°, γ = 90.00°
Space group C2/m (No. 12)
Unique sites:
Al (0.000, 0.000, 0.000) x2
Tc (0.250, 0.250, 0.500) x4
W (0.000, 0.500, 0.000) x2


No. 3
Entry from Alexandria via LeMat-Bulk: a relaxed structure of AlTc2W (PBE-GGA).

a = 3.113 Å, b = 3.113 Å, c = 6.117 Å
α = 90.00°, β = 90.00°, γ = 90.00°
Space group P4/mmm (No. 123)
Unique sites:
Al (0.000, 0.000, 0.000) x1
Tc (0.500, 0.500, 0.249) x2
W (0.000, 0.000, 0.500) x1


No. 4
Entry from Alexandria via LeMat-Bulk: a relaxed structure of AlTcW2 (PBE-GGA).

a = 5.328 Å, b = 8.333 Å, c = 2.787 Å
α = 90.00°, β = 90.00°, γ = 90.00°
Space group Cmmm (No. 65)
Unique sites:
Al (0.000, 0.000, 0.000) x2
Tc (0.000, 0.500, 0.000) x2
W (0.250, 0.250, 0.500) x4


No. 5
Entry from Alexandria via LeMat-Bulk: a relaxed structure of AlTcW2 (PBE-GGA).

a = 3.919 Å, b = 3.919 Å, c = 8.056 Å
α = 90.00°, β = 90.00°, γ = 90.00°
Space group I-4m2 (No. 119)
Unique sites:
Al (0.000, 0.000, 0.000) x2
Tc (0.000, 0.500, 0.750) x2
W (0.000, 0.000, 0.500) x2
W (0.000, 0.500, 0.250) x2


No. 6
Entry from Alexandria via LeMat-Bulk: a relaxed structure of Al2Tc2W (PBE-GGA).

a = 6.880 Å, b = 6.880 Å, c = 3.099 Å
α = 90.00°, β = 90.00°, γ = 90.00°
Space group P4/mbm (No. 127)
Unique sites:
Al (0.131, 0.369, 0.000) x4
Tc (0.167, 0.667, 0.500) x4
W (0.000, 0.000, 0.000) x2

- Relative energy among the computed polymorphs: 84 meV/atom


No. 7
Entry from Alexandria via LeMat-Bulk: a relaxed structure of AlTcW2 (PBE-GGA).

a = 2.830 Å, b = 2.830 Å, c = 7.723 Å
α = 90.00°, β = 90.00°, γ = 90.00°
Space group P4/mmm (No. 123)
Unique sites:
Al (0.000, 0.000, 0.000) x1
Tc (0.000, 0.000, 0.500) x1
W (0.500, 0.500, 0.255) x2


No. 8
Entry from Alexandria via LeMat-Bulk: a relaxed structure of Zr2AlTcW (PBE-GGA).

a = 4.909 Å, b = 4.909 Å, c = 4.456 Å
α = 90.00°, β = 90.00°, γ = 90.00°
Space group P4/mmm (No. 123)
Unique sites:
Zr (0.000, 0.500, 0.000) x2
Al (0.000, 0.000, 0.000) x1
Tc (0.500, 0.500, 0.500) x1
W (0.000, 0.000, 0.500) x1


No. 9
Entry from Alexandria via LeMat-Bulk: a relaxed structure of YAl2Tc2 (PBE-GGA).

a = 7.581 Å, b = 7.581 Å, c = 2.965 Å
α = 90.00°, β = 90.00°, γ = 90.00°
Space group P4/mbm (No. 127)
Unique sites:
Y (0.000, 0.000, 0.000) x2
Al (0.142, 0.358, 0.500) x4
Tc (0.147, 0.647, 0.000) x4

- Relative energy among the computed polymorphs: 89 meV/atom


No. 10
Entry from Alexandria via LeMat-Bulk: a relaxed structure of YAl3Tc (PBE-GGA).

a = 7.251 Å, b = 11.992 Å, c = 4.894 Å
α = 90.00°, β = 90.00°, γ = 90.00°
Space group Cmcm (No. 63)
Unique sites:
Y (0.000, 0.095, 0.250) x4
Al (0.000, 0.500, 0.000) x4
Al (0.168, 0.251, 0.750) x8
Tc (0.000, 0.319, 0.250) x4

- Relative energy among the computed polymorphs: 244 meV/atom


No. 11
Entry from Alexandria via LeMat-Bulk: a relaxed structure of YAl10Tc2 (PBE-GGA).

a = 9.144 Å, b = 10.351 Å, c = 9.195 Å
α = 90.00°, β = 90.00°, γ = 90.00°
Space group Cmcm (No. 63)
Unique sites:
Y (0.000, 0.128, 0.250) x4
Al (0.000, 0.152, 0.597) x8
Al (0.000, 0.375, 0.038) x8
Al (0.156, 0.371, 0.750) x8
Al (0.227, 0.000, 0.000) x8
Al (0.227, 0.365, 0.250) x8
Tc (0.250, 0.250, 0.000) x8


No. 12
Entry from Alexandria via LeMat-Bulk: a relaxed structure of YAlTc3 (PBE-GGA).

a = 4.813 Å, b = 4.813 Å, c = 4.813 Å
α = 90.00°, β = 90.00°, γ = 90.00°
Space group Pm-3m (No. 221)
Unique sites:
Y (0.000, 0.000, 0.000) x1
Al (0.500, 0.500, 0.500) x1
Tc (0.000, 0.000, 0.500) x3

- Relative energy among the computed polymorphs: 1457 meV/atom


No. 13
Entry from Alexandria via LeMat-Bulk: a relaxed structure of YAlTc (PBE-GGA).

a = 3.4090 Å, b = 3.4090 Å, c = 6.1453 Å
α = 90.00°, β = 90.00°, γ = 120.00°
Space group P3m1 (No. 156)
Unique sites:
Y (0.0000, 0.0000, 0.0000) x1
Al (0.3333, 0.6667, 0.4047) x1
Tc (0.6667, 0.3333, 0.6631) x1

- Relative energy among the computed polymorphs: 520 meV/atom


No. 14
Entry from Alexandria via LeMat-Bulk: a relaxed structure of YAl2Tc2 (PBE-GGA).

a = 7.238 Å, b = 7.238 Å, c = 3.256 Å
α = 90.00°, β = 90.00°, γ = 90.00°
Space group P4/mbm (No. 127)
Unique sites:
Y (0.000, 0.000, 0.000) x2
Al (0.125, 0.375, 0.000) x4
Tc (0.165, 0.665, 0.500) x4

- Relative energy among the computed polymorphs: 0 meV/atom


No. 15
Entry from Alexandria via LeMat-Bulk: a relaxed structure of YAlTc (PBE-GGA).

a = 3.372 Å, b = 3.850 Å, c = 4.967 Å
α = 90.00°, β = 90.00°, γ = 90.00°
Space group Pmmm (No. 47)
Unique sites:
Y (0.000, 0.000, 0.000) x1
Al (0.000, 0.500, 0.500) x1
Tc (0.500, 0.000, 0.500) x1

- Relative energy among the computed polymorphs: 393 meV/atom


No. 16
Entry from Alexandria via LeMat-Bulk: a relaxed structure of YAlTc3 (PBE-GGA).

a = 4.581 Å, b = 4.581 Å, c = 4.581 Å
α = 90.00°, β = 90.00°, γ = 90.00°
Space group Pm-3m (No. 221)
Unique sites:
Y (0.000, 0.000, 0.000) x1
Al (0.500, 0.500, 0.500) x1
Tc (0.000, 0.500, 0.500) x3

- Relative energy among the computed polymorphs: 0 meV/atom


No. 17
Entry from Alexandria via LeMat-Bulk: a relaxed structure of YAlTc (PBE-GGA).

a = 3.433 Å, b = 3.433 Å, c = 9.886 Å
α = 90.00°, β = 90.00°, γ = 90.00°
Space group I4mm (No. 107)
Unique sites:
Y (0.000, 0.000, 0.000) x2
Al (0.000, 0.000, 0.291) x2
Tc (0.000, 0.000, 0.691) x2

- Relative energy among the computed polymorphs: 200 meV/atom


No. 18
Entry from Alexandria via LeMat-Bulk: a relaxed structure of Y4Al2Tc (PBE-GGA).

a = 5.276 Å, b = 5.276 Å, c = 14.672 Å
α = 90.00°, β = 90.00°, γ = 90.00°
Space group I4/mmm (No. 139)
Unique sites:
Y (0.000, 0.000, 0.183) x4
Y (0.000, 0.500, 0.000) x4
Al (0.000, 0.000, 0.386) x4
Tc (0.000, 0.000, 0.000) x2


No. 19
Entry from Alexandria via LeMat-Bulk: a relaxed structure of YAl6Tc2 (PBE-GGA).

a = 3.412 Å, b = 6.942 Å, c = 12.999 Å
α = 90.00°, β = 90.00°, γ = 90.00°
Space group Immm (No. 71)
Unique sites:
Y (0.000, 0.000, 0.000) x2
Al (0.000, 0.169, 0.500) x4
Al (0.000, 0.303, 0.319) x8
Tc (0.000, 0.500, 0.133) x4


No. 20
Entry from Alexandria via LeMat-Bulk: a relaxed structure of YAl3Tc (PBE-GGA).

a = 5.178 Å, b = 5.178 Å, c = 5.178 Å
α = 90.00°, β = 90.00°, γ = 90.00°
Space group Pm-3m (No. 221)
Unique sites:
Y (0.000, 0.000, 0.000) x1
Al (0.000, 0.000, 0.500) x3
Tc (0.500, 0.500, 0.500) x1

- Relative energy among the computed polymorphs: 2251 meV/atom


no.,calculated total energy (eV per cell)
1,-118.64
2,-75.25
3,-38.51
4,-79.23
5,-79.21
6,-82.79
7,-39.66
8,-37.45
9,-70.99
10,-111.90
11,-280.16
12,-30.04
13,-20.30
14,-71.89
15,-20.68
16,-37.33
17,-42.51
18,-85.22
19,-104.53
20,-17.94